Record 1
# Na5B7C3

An optimized crystal structure of Na5B7C3 (PBE-GGA, Alexandria via LeMat-Bulk).

a = 11.5962 Å, b = 11.5962 Å, c = 10.0026 Å
α = 107.03°, β = 107.03°, γ = 14.03°
Sites, in units of the cell vectors:
Na: 0.0000 0.0000 0.0000
Na: 0.1021 0.1021 0.6931
Na: 0.1992 0.1992 0.3951
Na: 0.3004 0.3004 0.0943
Na: 0.3993 0.3993 0.7987
Na: 0.4998 0.4998 0.4938
Na: 0.6004 0.6004 0.1963
Na: 0.7009 0.7009 0.8958
Na: 0.7991 0.7991 0.5940
Na: 0.8986 0.8986 0.2936
B: 0.0770 0.0770 0.3976
B: 0.1204 0.1204 0.9866
B: 0.2796 0.2796 0.8057
B: 0.3086 0.3086 0.3621
B: 0.3761 0.3761 0.4968
B: 0.4833 0.4833 0.2120
B: 0.5280 0.5280 0.8026
B: 0.6177 0.6177 0.4789
B: 0.6859 0.6859 0.6162
B: 0.7142 0.7142 0.1730
B: 0.8193 0.8193 0.8863
B: 0.8885 0.8885 0.0243
B: 0.9197 0.9197 0.5856
B: 0.9842 0.9842 0.7154
C: 0.0149 0.0149 0.2734
C: 0.1828 0.1828 0.1107
C: 0.2174 0.2174 0.6802
C: 0.4192 0.4192 0.0859
C: 0.5881 0.5881 0.9227
C: 0.7775 0.7775 0.2994

Space-group type: Cm
Energy above the most stable polymorph in this dataset, meV per atom: 6
Energy of formation, eV/atom: 0.119



Record 2
# InTeBrN2

An optimized crystal structure of InTeBrN2 (PBE-GGA, Alexandria via LeMat-Bulk).

a = 4.2222 Å, b = 4.2222 Å, c = 5.5170 Å
α = 90.00°, β = 90.00°, γ = 90.00°
Sites, in units of the cell vectors:
In: 0.0000 0.0000 0.0000
Te: 0.5000 0.5000 0.0000
Br: 0.5000 0.5000 0.5000
N: 0.0000 0.5000 0.5000
N: 0.5000 0.0000 0.5000

Space-group type: P4/mmm
Energy above the most stable polymorph in this dataset, meV per atom: 575
Formation energy (no corrections), meV per atom: 1955



no.,magnetic moment (μB/f.u.),DOS at the Fermi energy (states/eV/f.u.)
1,0.0,4.88
2,0.0,4.59